(1)
Density functional theory data (meta-GGA SCAN) for a PBEsol-optimized structure of Co2Re.

Cell lengths 4.082, 4.389, 4.389 Å; angles 60.25, 90.00, 90.00 degrees
Site moments in Bohr magnetons follow the coordinates.
Fractional positions:
Re 0.250 0.816 0.184  -0.18
Re 0.750 0.184 0.816  -0.18
Co 0.750 0.837 0.506  0.77
Co 0.250 0.506 0.837  0.77
Co 0.750 0.494 0.163  0.77
Co 0.250 0.163 0.494  0.77

## Properties
- V (Å³ per cell) = 68.3
- E above lowest polymorph (eV per atom) = 0.000
- E (Ha/atom) = -1.291
- formation energy (meV/atom) = 94.9

***

(2)
Density functional theory data (meta-GGA SCAN) for a PBEsol-optimized structure of BeCd2Ni.

Cell lengths 2.963, 4.663, 4.662 Å; angles 105.05, 90.00, 108.53 degrees
Fractional positions:
Cd 0.256 0.512 0.253
Cd 0.744 0.488 0.747
Ni 0.500 0.000 0.000
Be 0.000 0.000 0.500

## Properties
- V (Å³ per cell) = 58.7
- E (Ha/atom) = -0.737
- formation energy (meV/atom) = 291.9

***

(3)
Density functional theory data (meta-GGA SCAN) for a PBEsol-optimized structure of ZnGa2ReRh.

Cell lengths 4.579, 4.579, 4.782 Å; angles 90.00, 90.00, 90.00 degrees
Site moments in Bohr magnetons follow the coordinates.
Fractional positions:
Re 0.000 0.000 0.500  1.07
Zn 0.500 0.500 0.500  -0.01
Ga 0.500 0.000 0.000  -0.01
Ga 0.000 0.500 0.000  -0.01
Rh 0.000 0.000 0.000  -0.07

## Properties
- V (Å³ per cell) = 100.3
- E (Ha/atom) = -1.078
- formation energy (meV/atom) = 886.7

***

(4)
Density functional theory data (meta-GGA SCAN) for a PBEsol-optimized structure of K3CrF6.

Cell lengths 6.151, 6.151, 6.151 Å; angles 60.00, 60.00, 60.00 degrees
Site moments in Bohr magnetons follow the coordinates.
Fractional positions:
F 0.281 0.281 0.719  0.01
F 0.719 0.281 0.719  0.01
F 0.281 0.719 0.719  0.01
F 0.719 0.281 0.281  0.01
F 0.719 0.719 0.281  0.01
F 0.281 0.719 0.281  0.01
K 0.000 0.000 0.000  0.00
K 0.250 0.250 0.250  0.00
K 0.750 0.750 0.750  0.00
Cr 0.500 0.500 0.500  2.82

## Properties
- V (Å³ per cell) = 164.5
- E (Ha/atom) = -0.352

***

(5)
Density functional theory data (meta-GGA SCAN) for a PBEsol-optimized structure of NdCu4Ag.

Cell lengths 5.031, 5.031, 5.031 Å; angles 60.00, 60.00, 60.00 degrees
Fractional positions:
Cu 0.870 0.377 0.377
Cu 0.377 0.377 0.870
Cu 0.377 0.870 0.377
Cu 0.377 0.377 0.377
Ag 0.750 0.750 0.750
Nd 0.000 0.000 0.000

## Properties
- V (Å³ per cell) = 90.0
- E (Ha/atom) = -0.839
- formation energy (meV/atom) = -195.1

***

(6)
Density functional theory data (meta-GGA SCAN) for a PBEsol-optimized structure of Zn2TeAu.

Cell lengths 4.331, 4.966, 4.966 Å; angles 78.19, 64.14, 64.14 degrees
Fractional positions:
Zn 0.000 0.288 0.712
Zn 0.000 0.712 0.288
Au 0.500 0.500 0.500
Te 0.500 0.000 0.000

## Properties
- V (Å³ per cell) = 86.5
- E (Ha/atom) = -1.224

***

(7)
Density functional theory data (meta-GGA SCAN) for a PBEsol-optimized structure of Tl2HgMo.

Cell lengths 3.007, 3.007, 9.661 Å; angles 90.00, 90.00, 90.52 degrees
Fractional positions:
Tl 0.000 0.000 0.035
Tl 0.500 0.500 0.737
Hg 0.000 0.000 0.466
Mo 0.500 0.500 0.262

## Properties
- V (Å³ per cell) = 87.4
- E above lowest polymorph (eV per atom) = 0.051
- E (Ha/atom) = -2.255
- formation energy (meV/atom) = 571.4

***

(8)
Density functional theory data (meta-GGA SCAN) for a PBEsol-optimized structure of SnSI2.

Cell lengths 6.830, 6.830, 6.830 Å; angles 106.30, 106.30, 116.02 degrees
Fractional positions:
S 0.500 0.500 0.000
S 0.750 0.250 0.500
I 0.379 0.375 0.504
I 0.625 0.129 0.004
I 0.125 0.621 0.996
I 0.871 0.875 0.496
Sn 0.250 0.750 0.500
Sn 0.000 0.000 0.000

## Properties
- V (Å³ per cell) = 242.8
- E (Ha/atom) = -1.078

***

(9)
Density functional theory data (meta-GGA SCAN) for a PBEsol-optimized structure of HfRu3F.

Cell lengths 4.751, 4.751, 4.751 Å; angles 90.00, 90.00, 90.00 degrees
Site moments in Bohr magnetons follow the coordinates.
Fractional positions:
Hf 0.000 0.000 0.000  -0.39
Ru 0.000 0.500 0.000  1.76
Ru 0.000 0.000 0.500  1.76
Ru 0.500 0.000 0.000  1.76
F 0.500 0.500 0.500  0.13

## Properties
- V (Å³ per cell) = 107.2
- E (Ha/atom) = -1.196

***

(10)
Density functional theory data (meta-GGA SCAN) for a PBEsol-optimized structure of NaAl2Ru.

Cell lengths 5.336, 5.336, 8.565 Å; angles 108.15, 108.15, 90.00 degrees
Fractional positions:
Al 0.125 0.375 0.250
Al 0.125 0.875 0.250
Al 0.625 0.875 0.750
Al 0.125 0.875 0.750
Na 0.750 0.250 0.500
Na 0.500 0.500 0.000
Ru 0.000 0.000 0.000
Ru 0.250 0.750 0.500

## Properties
- V (Å³ per cell) = 218.9
- E above lowest polymorph (eV per atom) = 0.522
- E (Ha/atom) = -0.486
- formation energy (meV/atom) = 411.6

***

(11)
Density functional theory data (meta-GGA SCAN) for a PBEsol-optimized structure of LiAl2Ag.

Cell lengths 3.014, 4.604, 5.364 Å; angles 115.41, 106.32, 90.00 degrees
Fractional positions:
Al 0.739 0.739 0.477
Al 0.261 0.261 0.523
Li 0.500 0.000 0.000
Ag 0.000 0.500 0.000

## Properties
- V (Å³ per cell) = 63.9
- E above lowest polymorph (eV per atom) = 0.066
- E (Ha/atom) = -0.457
- formation energy (meV/atom) = -119.5

***

(12)
Density functional theory data (meta-GGA SCAN) for a PBEsol-optimized structure of Cr2S3O12.

Cell lengths 8.183, 8.467, 11.482 Å; angles 90.00, 90.89, 90.00 degrees
Site moments in Bohr magnetons follow the coordinates.
Fractional positions:
O 0.436 0.614 0.605  0.01
O 0.369 0.088 0.527  0.02
O 0.654 0.776 0.688  0.01
O 0.281 0.023 0.720  0.01
O 0.561 0.186 0.106  0.01
O 0.781 0.477 0.220  0.01
O 0.564 0.386 0.395  0.01
O 0.911 0.372 0.424  0.01
O 0.444 0.631 0.059  0.02
O 0.222 0.927 0.051  0.02
O 0.936 0.886 0.105  0.01
O 0.131 0.588 0.973  0.02
O 0.278 0.427 0.449  0.02
O 0.631 0.912 0.473  0.02
O 0.939 0.686 0.394  0.01
O 0.439 0.814 0.894  0.01
O 0.628 0.502 0.741  0.01
O 0.315 0.328 0.055  0.00
O 0.061 0.314 0.606  0.01
O 0.128 0.998 0.241  0.01
O 0.685 0.672 0.945  0.00
O 0.566 0.079 0.685  0.01
O 0.056 0.131 0.441  0.02
O 0.378 0.291 0.675  0.01
O 0.556 0.369 0.941  0.02
O 0.372 0.498 0.259  0.01
O 0.064 0.114 0.895  0.01
O 0.089 0.628 0.576  0.01
O 0.122 0.791 0.825  0.01
O 0.066 0.421 0.185  0.01
O 0.411 0.128 0.924  0.01
O 0.219 0.523 0.780  0.01
O 0.719 0.977 0.280  0.01
O 0.878 0.209 0.175  0.01
O 0.154 0.724 0.188  0.01
O 0.589 0.872 0.076  0.01
O 0.434 0.921 0.315  0.01
O 0.869 0.412 0.027  0.02
O 0.934 0.579 0.815  0.01
O 0.944 0.869 0.559  0.02
O 0.722 0.573 0.551  0.02
O 0.872 0.002 0.759  0.01
O 0.346 0.224 0.312  0.01
O 0.778 0.073 0.949  0.02
O 0.622 0.709 0.325  0.01
O 0.815 0.172 0.555  0.00
O 0.846 0.276 0.812  0.01
O 0.185 0.828 0.445  0.00
S 0.104 0.619 0.849  0.01
S 0.609 0.617 0.646  0.01
S 0.109 0.883 0.146  0.01
S 0.537 0.748 0.993  0.01
S 0.891 0.117 0.854  0.01
S 0.396 0.119 0.651  0.01
S 0.963 0.248 0.507  0.01
S 0.037 0.752 0.493  0.01
S 0.391 0.383 0.354  0.01
S 0.463 0.252 0.007  0.01
S 0.896 0.381 0.151  0.01
S 0.604 0.881 0.349  0.01
Cr 0.753 0.467 0.884  2.79
Cr 0.253 0.033 0.384  2.79
Cr 0.753 0.535 0.386  2.81
Cr 0.747 0.035 0.114  2.81
Cr 0.253 0.965 0.886  2.81
Cr 0.247 0.533 0.116  2.79
Cr 0.747 0.967 0.616  2.79
Cr 0.247 0.465 0.614  2.81

## Properties
- V (Å³ per cell) = 795.4
- E above lowest polymorph (eV per atom) = 0.003
- E (Ha/atom) = -0.372